Entry 1:
Density functional theory data (PBE) for a geometry-optimized FeP2PdSe structure.

space group	P4/mmm, No. 123
DOS at the Fermi energy	1.221	states/eV/atom
uncorrected energy	-21.9	eV per cell
calculated volume	21.06	Å³/atom
ΔE_f (raw)	1.216	eV per atom
magnetic moment	3.52	μB/f.u.
crystal system	tetragonal

The structure in CIF format:
```
data_FeP2PdSe
_cell_length_a 4.7723
_cell_length_b 4.6246
_cell_length_c 4.7723
_cell_angle_alpha 90.00
_cell_angle_beta 90.00
_cell_angle_gamma 90.00
_space_group_name_H-M_alt 'P 1'
_space_group_IT_number 1
loop_
_space_group_symop_operation_xyz
'x,y,z'
loop_
_atom_site_label
_atom_site_fract_x
_atom_site_fract_y
_atom_site_fract_z
Se1 0.0000 0.0000 0.0000
P1 0.0000 0.0000 0.5000
P2 0.5000 0.0000 0.0000
Fe1 0.5000 0.5000 0.5000
Pd1 0.0000 0.5000 0.0000
```

Entry 2:
Density functional theory data (PBE) for a geometry-optimized BiPt2Cl structure.

space group	Fm-3m, No. 225
DOS at the Fermi energy	0.568	states/eV/atom
uncorrected energy	-16.8	eV per cell
calculated volume	19.59	Å³/atom
ΔE_f (raw)	0.262	eV per atom
magnetic moment	0.00	μB/f.u.
crystal system	cubic

The structure in CIF format:
```
data_BiPt2Cl
_cell_length_a 4.8030
_cell_length_b 4.8030
_cell_length_c 4.8030
_cell_angle_alpha 60.00
_cell_angle_beta 60.00
_cell_angle_gamma 60.00
_space_group_name_H-M_alt 'P 1'
_space_group_IT_number 1
loop_
_space_group_symop_operation_xyz
'x,y,z'
loop_
_atom_site_label
_atom_site_fract_x
_atom_site_fract_y
_atom_site_fract_z
Bi1 0.5000 0.5000 0.5000
Cl1 0.0000 0.0000 0.0000
Pt1 0.2500 0.2500 0.2500
Pt2 0.7500 0.7500 0.7500
```

Entry 3:
Density functional theory data (PBE) for a geometry-optimized SrMo2Se structure.

space group	I-42d, No. 122
DOS at the Fermi energy	1.391	states/eV/atom
uncorrected energy	-49.9	eV per cell
calculated volume	25.71	Å³/atom
ΔE_f (raw)	0.472	eV per atom
magnetic moment	0.00	μB/f.u.
crystal system	tetragonal

The structure in CIF format:
```
data_SrMo2Se
_cell_length_a 4.6836
_cell_length_b 4.6836
_cell_length_c 9.9445
_cell_angle_alpha 76.38
_cell_angle_beta 76.38
_cell_angle_gamma 90.00
_space_group_name_H-M_alt 'P 1'
_space_group_IT_number 1
loop_
_space_group_symop_operation_xyz
'x,y,z'
loop_
_atom_site_label
_atom_site_fract_x
_atom_site_fract_y
_atom_site_fract_z
Mo1 0.8750 0.5891 0.7500
Mo2 0.3391 0.1250 0.2500
Mo3 0.4109 0.6250 0.2500
Mo4 0.3750 0.6609 0.7500
Se1 0.2500 0.7500 0.5000
Se2 0.5000 0.5000 0.0000
Sr1 0.0000 0.0000 0.0000
Sr2 0.7500 0.2500 0.5000
```

Question: Which formula does entry 1 have?
Answer: FeP2PdSe

Please write out number 3 again, unchanged.
Density functional theory data (PBE) for a geometry-optimized SrMo2Se structure.

space group	I-42d, No. 122
DOS at the Fermi energy	1.391	states/eV/atom
uncorrected energy	-49.9	eV per cell
calculated volume	25.71	Å³/atom
ΔE_f (raw)	0.472	eV per atom
magnetic moment	0.00	μB/f.u.
crystal system	tetragonal

The structure in CIF format:
```
data_SrMo2Se
_cell_length_a 4.6836
_cell_length_b 4.6836
_cell_length_c 9.9445
_cell_angle_alpha 76.38
_cell_angle_beta 76.38
_cell_angle_gamma 90.00
_space_group_name_H-M_alt 'P 1'
_space_group_IT_number 1
loop_
_space_group_symop_operation_xyz
'x,y,z'
loop_
_atom_site_label
_atom_site_fract_x
_atom_site_fract_y
_atom_site_fract_z
Mo1 0.8750 0.5891 0.7500
Mo2 0.3391 0.1250 0.2500
Mo3 0.4109 0.6250 0.2500
Mo4 0.3750 0.6609 0.7500
Se1 0.2500 0.7500 0.5000
Se2 0.5000 0.5000 0.0000
Sr1 0.0000 0.0000 0.0000
Sr2 0.7500 0.2500 0.5000
```

Question: Which of these has the lowest ΔE_f (raw)?
Answer: BiPt2Cl

Question: Which value of magnetic moment does entry 2 give?
Answer: 0.00 μB/f.u.